An optimized crystal structure of BaLa2Ni. Source: Alexandria via LeMat-Bulk, functional PBE-GGA.

Lattice parameters (Å, degrees): 7.7719 7.7719 7.7719 90.00 90.00 90.00
With the nearest neighbours (Å) after each atom.
Space group F-43m (No. 216)
Symmetry-distinct sites (fractional):
Ba: 0.0000 0.0000 0.0000 x4  4 La 3.37, 4 Ni 3.37
La: 0.0000 0.0000 0.5000 x4  4 La 3.37, 4 Ni 3.37
La: 0.2500 0.2500 0.7500 x4  4 Ba 3.37, 4 La 3.37
Ni: 0.2500 0.2500 0.2500 x4  4 Ba 3.37, 4 La 3.37

## Properties
Crystal system: cubic
Fermi-level density of states, states/eV per atom: 1.576
M_tot, Bohr magnetons per cell: 0.00
ΔE_f, eV per atom: 0.42
Electronic total energy, eV per atom: -3.9652